A geometry-optimized ReP2AuS structure. Source: Alexandria via LeMat-Bulk, functional GGA-PBE.

abc: 4.7339 4.7339 4.8079
angles: 90.00 90.00 90.00
Space group P4/mmm (No. 123)
Asymmetric unit:
Re (0.0000, 0.0000, 0.0000) [1 per cell]
P (0.0000, 0.5000, 0.5000) [2 per cell]
Au (0.5000, 0.5000, 0.5000) [1 per cell]
S (0.5000, 0.5000, 0.0000) [1 per cell]

## Properties
Theoretical density ... 7.35 g/cm³
Offset from the most stable computed form ... 1.120 eV/atom
Uncorrected formation energy ... 1.799 eV per atom



A geometry-optimized PRhAu2 structure. Source: Alexandria via LeMat-Bulk, functional GGA-PBE.

abc: 3.3703 4.2873 9.2683
angles: 90.00 90.00 90.00
Space group Imm2 (No. 44)
Asymmetric unit:
P (0.0000, 0.0000, 0.0000) [2 per cell]
Rh (0.0000, 0.5000, 0.3403) [2 per cell]
Au (0.0000, 0.0000, 0.5611) [2 per cell]
Au (0.0000, 0.5000, 0.7641) [2 per cell]

## Properties
Theoretical density ... 13.09 g/cm³
Formation enthalpy at 0 K ... 28.1 meV/atom



A geometry-optimized P2RhAu structure. Source: Alexandria via LeMat-Bulk, functional GGA-PBE.

abc: 5.4615 5.4615 10.7007
angles: 90.00 90.00 90.00
Space group I-42d (No. 122)
Asymmetric unit:
P (0.2205, 0.2500, 0.1250) [8 per cell]
Rh (0.0000, 0.0000, 0.0000) [4 per cell]
Au (0.0000, 0.0000, 0.5000) [4 per cell]

## Properties
Theoretical density ... 7.53 g/cm³
Offset from the most stable computed form ... 0.059 eV/atom
Formation enthalpy at 0 K ... -79.5 meV/atom



A geometry-optimized P4RhAu structure. Source: Alexandria via LeMat-Bulk, functional GGA-PBE.

abc: 7.2152 7.2152 7.2152
angles: 90.00 90.00 90.00
Space group F-43m (No. 216)
Asymmetric unit:
P (0.1168, 0.1168, 0.1168) [16 per cell]
Rh (0.0000, 0.0000, 0.5000) [4 per cell]
Au (0.2500, 0.2500, 0.7500) [4 per cell]

## Properties
Theoretical density ... 7.49 g/cm³
Formation enthalpy at 0 K ... 690.1 meV/atom



A geometry-optimized P2RhAu structure. Source: Alexandria via LeMat-Bulk, functional GGA-PBE.

abc: 2.9605 2.9605 7.6433
angles: 90.00 90.00 90.00
Space group P4mm (No. 99)
Asymmetric unit:
P (0.0000, 0.0000, 0.0000) [1 per cell]
P (0.5000, 0.5000, 0.4609) [1 per cell]
Rh (0.0000, 0.0000, 0.3064) [1 per cell]
Au (0.5000, 0.5000, 0.7795) [1 per cell]

## Properties
Theoretical density ... 8.97 g/cm³
Offset from the most stable computed form ... 0.085 eV/atom
Formation enthalpy at 0 K ... -53.2 meV/atom



A geometry-optimized PRh2Au structure. Source: Alexandria via LeMat-Bulk, functional GGA-PBE.

abc: 2.8037 3.7883 6.0100
angles: 90.00 90.00 90.00
Space group Pmm2 (No. 25)
Asymmetric unit:
P (0.0000, 0.0000, 0.0000) [1 per cell]
Rh (0.0000, 0.0000, 0.3714) [1 per cell]
Rh (0.5000, 0.5000, 0.0980) [1 per cell]
Au (0.5000, 0.5000, 0.6220) [1 per cell]

## Properties
Theoretical density ... 11.28 g/cm³
Formation enthalpy at 0 K ... -25.1 meV/atom



The following total energy values (in eV/atom) correspond, in order, to the records above: -4.34; -4.80; -5.44; -4.69; -5.42; -5.87.